[1]
A plane-wave DFT calculation with PBE-GGA was carried out for crystalline DyInNi10 at its relaxed geometry.

The space group is Pmmm (47). For the energy relative to the elements, the calculation gives -140 meV per atom.

Unit cell a=4.0143 b=4.7988 c=8.3195 alpha=90.00 beta=90.00 gamma=90.00
Sites, in units of the cell vectors:
Dy 0.0000 0.0000 0.0000
In 0.0000 0.5000 0.5000
Ni 0.0000 0.0000 0.3400
Ni 0.0000 0.0000 0.6600
Ni 0.0000 0.5000 0.1767
Ni 0.0000 0.5000 0.8233
Ni 0.5000 0.0000 0.5000
Ni 0.5000 0.2496 0.2503
Ni 0.5000 0.2496 0.7497
Ni 0.5000 0.5000 0.0000
Ni 0.5000 0.7504 0.2503
Ni 0.5000 0.7504 0.7497

***

[2]
A plane-wave DFT calculation with PBE-GGA was carried out for crystalline Pd3PtPb at its relaxed geometry.

Its excess energy over the best structure of this formula in the dataset is 763 meV per atom. The space group is Pm-3m (221). For the energy relative to the elements, the calculation gives 701 meV per atom.

Unit cell a=4.9289 b=4.9289 c=4.9289 alpha=90.00 beta=90.00 gamma=90.00
Sites, in units of the cell vectors:
Pd 0.0000 0.0000 0.5000
Pd 0.0000 0.5000 0.0000
Pd 0.5000 0.0000 0.0000
Pt 0.0000 0.0000 0.0000
Pb 0.5000 0.5000 0.5000

***

[3]
A plane-wave DFT calculation with PBE-GGA was carried out for crystalline CaScFeGe2 at its relaxed geometry.

The space group is P4/mmm (123). For the energy relative to the elements, the calculation gives -155 meV per atom.

Unit cell a=4.7130 b=4.7130 c=4.6034 alpha=90.00 beta=90.00 gamma=90.00
Sites, in units of the cell vectors:
Ca 0.0000 0.0000 0.0000
Sc 0.5000 0.5000 0.0000
Fe 0.5000 0.5000 0.5000
Ge 0.0000 0.5000 0.5000
Ge 0.5000 0.0000 0.5000

***

[4]
A plane-wave DFT calculation with PBE-GGA was carried out for crystalline Y6SbSe3S2 at its relaxed geometry.

For the total energy, the calculation gives -6.861 eV/atom. The space group is C2/m (12).

Unit cell a=9.1555 b=9.1555 c=8.2217 alpha=103.32 beta=103.32 gamma=25.75
Sites, in units of the cell vectors:
Y 0.0094 0.0094 0.2649
Y 0.3275 0.3275 0.4282
Y 0.3277 0.3277 0.8915
Y 0.6723 0.6723 0.1085
Y 0.6725 0.6725 0.5718
Y 0.9906 0.9906 0.7351
Sb 0.5000 0.5000 0.0000
Se 0.1628 0.1628 0.8334
Se 0.5000 0.5000 0.5000
Se 0.8372 0.8372 0.1666
S 0.1691 0.1691 0.3384
S 0.8309 0.8309 0.6616

***

[5]
A plane-wave DFT calculation with PBE-GGA was carried out for crystalline K2ReNi at its relaxed geometry.

Its excess energy over the best structure of this formula in the dataset is 903 meV per atom. The space group is F-43m (216). For the energy relative to the elements, the calculation gives 1667 meV per atom.

Unit cell a=5.1863 b=5.1863 c=5.1863 alpha=60.00 beta=60.00 gamma=60.00
Sites, in units of the cell vectors:
K 0.0000 0.0000 0.0000
K 0.2500 0.2500 0.2500
Re 0.5000 0.5000 0.5000
Ni 0.7500 0.7500 0.7500

***

[6]
A plane-wave DFT calculation with PBE-GGA was carried out for crystalline CaPr3Sn12 at its relaxed geometry.

The space group is P4/mmm (123). For the energy relative to the elements, the calculation gives -480 meV per atom.

Unit cell a=4.7696 b=4.7696 c=19.2371 alpha=90.00 beta=90.00 gamma=90.00
Sites, in units of the cell vectors:
Ca 0.0000 0.0000 0.0000
Pr 0.0000 0.0000 0.2511
Pr 0.0000 0.0000 0.5000
Pr 0.0000 0.0000 0.7489
Sn 0.0000 0.5000 0.1230
Sn 0.0000 0.5000 0.3751
Sn 0.0000 0.5000 0.6249
Sn 0.0000 0.5000 0.8770
Sn 0.5000 0.0000 0.1230
Sn 0.5000 0.0000 0.3751
Sn 0.5000 0.0000 0.6249
Sn 0.5000 0.0000 0.8770
Sn 0.5000 0.5000 0.0000
Sn 0.5000 0.5000 0.2485
Sn 0.5000 0.5000 0.5000
Sn 0.5000 0.5000 0.7515

***

[7]
A plane-wave DFT calculation with PBE-GGA was carried out for crystalline La2P3IrPt12 at its relaxed geometry.

The space group is R-3m (166). For the energy relative to the elements, the calculation gives -352 meV per atom.

Unit cell a=7.8198 b=7.8198 c=7.8198 alpha=63.27 beta=63.27 gamma=63.27
Sites, in units of the cell vectors:
La 0.1160 0.1160 0.1160
La 0.8840 0.8840 0.8840
P 0.0000 0.5000 0.5000
P 0.5000 0.0000 0.5000
P 0.5000 0.5000 0.0000
Ir 0.5000 0.5000 0.5000
Pt 0.1220 0.6226 0.6226
Pt 0.1545 0.1545 0.6023
Pt 0.1545 0.6023 0.1545
Pt 0.3774 0.3774 0.8780
Pt 0.3774 0.8780 0.3774
Pt 0.3977 0.8455 0.8455
Pt 0.6023 0.1545 0.1545
Pt 0.6226 0.1220 0.6226
Pt 0.6226 0.6226 0.1220
Pt 0.8455 0.3977 0.8455
Pt 0.8455 0.8455 0.3977
Pt 0.8780 0.3774 0.3774

***

[8]
A plane-wave DFT calculation with PBE-GGA was carried out for crystalline Li5Mg5Ag at its relaxed geometry.

The space group is P-6m2 (187). For the energy relative to the elements, the calculation gives 34 meV per atom.

Unit cell a=5.0757 b=5.0757 c=9.5955 alpha=90.00 beta=90.00 gamma=120.00
Sites, in units of the cell vectors:
Li 0.0000 0.0000 0.2296
Li 0.0000 0.0000 0.7704
Li 0.3434 0.1717 0.0000
Li 0.8283 0.1717 0.0000
Li 0.8283 0.6566 0.0000
Mg 0.0000 0.0000 0.5000
Mg 0.3333 0.6667 0.1882
Mg 0.3333 0.6667 0.8118
Mg 0.6667 0.3333 0.3290
Mg 0.6667 0.3333 0.6710
Ag 0.3333 0.6667 0.5000

***

[9]
A plane-wave DFT calculation with PBE-GGA was carried out for crystalline HgGe2Au3 at its relaxed geometry.

The space group is Pmmn (59). For the energy relative to the elements, the calculation gives 54 meV per atom.

Unit cell a=4.7097 b=12.4720 c=4.8977 alpha=90.00 beta=90.00 gamma=90.00
Sites, in units of the cell vectors:
Hg 0.2500 0.2500 0.0990
Hg 0.7500 0.7500 0.9010
Ge 0.2500 0.5594 0.3642
Ge 0.2500 0.9406 0.3642
Ge 0.7500 0.0594 0.6358
Ge 0.7500 0.4406 0.6358
Au 0.2500 0.0264 0.8508
Au 0.2500 0.4736 0.8508
Au 0.2500 0.7500 0.5246
Au 0.7500 0.2500 0.4754
Au 0.7500 0.5264 0.1492
Au 0.7500 0.9736 0.1492

***

[10]
A plane-wave DFT calculation with PBE-GGA was carried out for crystalline HoNbPd at its relaxed geometry.

The space group is P4/mmm (123). For the energy relative to the elements, the calculation gives -213 meV per atom.

Unit cell a=3.3549 b=3.3549 c=10.9076 alpha=90.00 beta=90.00 gamma=90.00
Sites, in units of the cell vectors:
Ho 0.0000 0.0000 0.1666
Ho 0.0000 0.0000 0.8334
Nb 0.5000 0.5000 0.3613
Nb 0.5000 0.5000 0.6387
Pd 0.0000 0.0000 0.5000
Pd 0.5000 0.5000 0.0000

***

[11]
A plane-wave DFT calculation with PBE-GGA was carried out for crystalline Ac4OsRh at its relaxed geometry.

The space group is C2/c (15). For the energy relative to the elements, the calculation gives -272 meV per atom.

Unit cell a=9.3704 b=9.3704 c=7.3820 alpha=106.34 beta=106.34 gamma=123.81
Sites, in units of the cell vectors:
Ac 0.0508 0.4480 0.7454
Ac 0.1894 0.3049 0.2500
Ac 0.3049 0.1894 0.7500
Ac 0.4480 0.0508 0.2454
Ac 0.5520 0.9492 0.7546
Ac 0.6951 0.8106 0.2500
Ac 0.8106 0.6951 0.7500
Ac 0.9492 0.5520 0.2546
Os 0.1664 0.8336 0.7500
Os 0.8336 0.1664 0.2500
Rh 0.3314 0.6686 0.2500
Rh 0.6686 0.3314 0.7500

***

[12]
A plane-wave DFT calculation with PBE-GGA was carried out for crystalline Er4Tm7Zr at its relaxed geometry.

Its excess energy over the best structure of this formula in the dataset is 0 meV per atom. The space group is P-1 (2). For the energy relative to the elements, the calculation gives 171 meV per atom.

Unit cell a=5.8105 b=6.7449 c=9.8000 alpha=70.04 beta=87.87 gamma=89.88
Sites, in units of the cell vectors:
Er 0.2319 0.3686 0.2298
Er 0.2335 0.9024 0.2289
Er 0.7665 0.0976 0.7711
Er 0.7681 0.6314 0.7702
Tm 0.2417 0.3107 0.8728
Tm 0.2428 0.9631 0.5763
Tm 0.2727 0.7837 0.9275
Tm 0.5000 0.5000 0.5000
Tm 0.7273 0.2163 0.0725
Tm 0.7572 0.0369 0.4237
Tm 0.7583 0.6893 0.1272
Zr 0.0000 0.5000 0.5000

***

[13]
A plane-wave DFT calculation with PBE-GGA was carried out for crystalline PuAg2SnTe4 at its relaxed geometry.

For the total energy, the calculation gives -4.938 eV/atom. The space group is P2/m (10).

Unit cell a=7.2940 b=4.4340 c=7.7036 alpha=90.00 beta=110.90 gamma=90.00
Sites, in units of the cell vectors:
Pu 0.0000 0.0000 0.0000
Ag 0.5000 0.0000 0.5000
Ag 0.5000 0.5000 0.0000
Sn 0.0000 0.5000 0.5000
Te 0.2591 0.5000 0.2544
Te 0.2636 0.0000 0.7560
Te 0.7364 0.0000 0.2440
Te 0.7409 0.5000 0.7456

***

[14]
A plane-wave DFT calculation with PBE-GGA was carried out for crystalline ThSiGeRh3 at its relaxed geometry.

For the total energy, the calculation gives -7.309 eV/atom. The space group is Cmcm (63).

Unit cell a=6.7254 b=6.7254 c=5.6821 alpha=90.00 beta=90.00 gamma=120.24
Sites, in units of the cell vectors:
Th 0.2075 0.7925 0.7500
Th 0.7925 0.2075 0.2500
Si 0.1185 0.8815 0.2500
Si 0.8815 0.1185 0.7500
Ge 0.4662 0.5338 0.7500
Ge 0.5338 0.4662 0.2500
Rh 0.2070 0.2070 0.0000
Rh 0.2070 0.2070 0.5000
Rh 0.3171 0.6829 0.2500
Rh 0.6829 0.3171 0.7500
Rh 0.7930 0.7930 0.0000
Rh 0.7930 0.7930 0.5000

***

[15]
A plane-wave DFT calculation with PBE-GGA was carried out for crystalline Nd12Si5Pb at its relaxed geometry.

For the total energy, the calculation gives -5.405 eV/atom. The space group is Immm (71).

Unit cell a=8.7852 b=8.7852 c=8.7852 alpha=112.45 beta=110.88 gamma=105.17
Sites, in units of the cell vectors:
Nd 0.0287 0.2277 0.8009
Nd 0.1822 0.2712 0.4534
Nd 0.1822 0.7288 0.9110
Nd 0.3192 0.0231 0.7040
Nd 0.3192 0.6152 0.2960
Nd 0.4268 0.2277 0.1991
Nd 0.5732 0.7723 0.8009
Nd 0.6808 0.3848 0.7040
Nd 0.6808 0.9769 0.2960
Nd 0.8178 0.2712 0.0890
Nd 0.8178 0.7288 0.5466
Nd 0.9713 0.7723 0.1991
Si 0.0000 0.0000 0.0000
Si 0.1118 0.6118 0.5000
Si 0.3780 0.0000 0.3780
Si 0.6220 0.0000 0.6220
Si 0.8882 0.3882 0.5000
Pb 0.5000 0.5000 0.0000

***

[16]
A plane-wave DFT calculation with PBE-GGA was carried out for crystalline Pr6Y2ErTh at its relaxed geometry.

The space group is C2/c (15). For the energy relative to the elements, the calculation gives 144 meV per atom.

Unit cell a=8.9656 b=8.9656 c=9.6346 alpha=93.44 beta=93.44 gamma=115.07
Sites, in units of the cell vectors:
Pr 0.0044 0.5740 0.1915
Pr 0.1087 0.7646 0.5623
Pr 0.2354 0.8913 0.9377
Pr 0.2983 0.5214 0.3847
Pr 0.4260 0.9956 0.3085
Pr 0.4786 0.7017 0.1153
Pr 0.5214 0.2983 0.8847
Pr 0.5740 0.0044 0.6915
Pr 0.7017 0.4786 0.6153
Pr 0.7646 0.1087 0.0623
Pr 0.8913 0.2354 0.4377
Pr 0.9956 0.4260 0.8085
Y 0.2029 0.2906 0.0552
Y 0.2906 0.2029 0.5552
Y 0.7094 0.7971 0.4448
Y 0.7971 0.7094 0.9448
Er 0.4097 0.5903 0.7500
Er 0.5903 0.4097 0.2500
Th 0.0350 0.9650 0.2500
Th 0.9650 0.0350 0.7500

***

[17]
A plane-wave DFT calculation with PBE-GGA was carried out for crystalline TaWCl2 at its relaxed geometry.

Its excess energy over the best structure of this formula in the dataset is 813 meV per atom. The space group is R-3m (166).

Unit cell a=11.9597 b=11.9597 c=11.9597 alpha=14.14 beta=14.14 gamma=14.14
Sites, in units of the cell vectors:
Ta 0.0000 0.0000 0.0000
W 0.5000 0.5000 0.5000
Cl 0.2810 0.2810 0.2810
Cl 0.7190 0.7190 0.7190

***

[18]
A plane-wave DFT calculation with PBE-GGA was carried out for crystalline Ba2CaTl at its relaxed geometry.

Its excess energy over the best structure of this formula in the dataset is 111 meV per atom. The space group is R3m (160). For the energy relative to the elements, the calculation gives -104 meV per atom.

Unit cell a=12.4632 b=12.4632 c=12.4632 alpha=19.69 beta=19.69 gamma=19.69
Sites, in units of the cell vectors:
Ba 0.0000 0.0000 0.0000
Ba 0.2281 0.2281 0.2281
Ca 0.4661 0.4661 0.4661
Tl 0.7383 0.7383 0.7383

***

[19]
A plane-wave DFT calculation with PBE-GGA was carried out for crystalline ThGeSb2 at its relaxed geometry.

Its excess energy over the best structure of this formula in the dataset is 0 meV per atom. The space group is P4/mmm (123).

Unit cell a=4.5876 b=4.5876 c=4.7992 alpha=90.00 beta=90.00 gamma=90.00
Sites, in units of the cell vectors:
Th 0.0000 0.0000 0.0000
Ge 0.5000 0.5000 0.0000
Sb 0.0000 0.5000 0.5000
Sb 0.5000 0.0000 0.5000

***

[20]
A plane-wave DFT calculation with PBE-GGA was carried out for crystalline PAu5 at its relaxed geometry.

Its excess energy over the best structure of this formula in the dataset is 0 meV per atom. The space group is Cm (8). For the energy relative to the elements, the calculation gives 152 meV per atom.

Unit cell a=5.4888 b=5.4888 c=7.1815 alpha=101.17 beta=101.17 gamma=30.78
Sites, in units of the cell vectors:
P 0.0000 0.0000 0.0000
Au 0.2731 0.2731 0.6028
Au 0.2976 0.2976 0.0120
Au 0.5708 0.5708 0.7357
Au 0.6478 0.6478 0.2640
Au 0.9334 0.9334 0.3898

***

[21]
A plane-wave DFT calculation with PBE-GGA was carried out for crystalline Rb5HF8 at its relaxed geometry.

For the total energy, the calculation gives -3.617 eV/atom. The space group is I-4 (82).

Unit cell a=7.3438 b=7.3438 c=7.3438 alpha=115.62 beta=115.62 gamma=97.78
Sites, in units of the cell vectors:
Rb 0.0000 0.0000 0.0000
Rb 0.2525 0.1224 0.5927
Rb 0.3401 0.7475 0.8699
Rb 0.5298 0.6599 0.4073
Rb 0.8776 0.4702 0.1301
H 0.7500 0.2500 0.5000
F 0.1873 0.7750 0.1789
F 0.2250 0.4039 0.4123
F 0.5961 0.0084 0.8211
F 0.6404 0.3500 0.6275
F 0.6500 0.2775 0.2904
F 0.7225 0.0129 0.3725
F 0.9871 0.3596 0.7096
F 0.9916 0.8127 0.5877

***

[22]
A plane-wave DFT calculation with PBE-GGA was carried out for crystalline GaHRh3 at its relaxed geometry.

Its excess energy over the best structure of this formula in the dataset is 75 meV per atom. The space group is P1 (1).

Unit cell a=5.3190 b=5.3209 c=5.5940 alpha=118.27 beta=116.13 gamma=90.31
Sites, in units of the cell vectors:
Ga 0.0000 0.0000 0.0000
Ga 0.4974 0.4624 0.0050
H 0.2022 0.7222 0.4004
H 0.2968 0.6295 0.7353
Rh 0.0530 0.0510 0.5072
Rh 0.4385 0.4196 0.4907
Rh 0.5163 0.9854 0.0186
Rh 0.5585 0.9339 0.5063
Rh 0.9240 0.5429 0.4926
Rh 0.9847 0.4914 0.9861